# TiCuS2N

A relaxed structure of TiCuS2N (PBE-GGA, the Alexandria database).

Summary:
Offset from the most stable computed form (eV per atom): 0.3932
Total moment (μB per formula unit): 0.0
Density of states at the Fermi level (states/eV/atom): 1.54

Cell and atoms, written as CIF:
```
data_TiCuS2N
_chemical_formula_sum 'Ti1 Cu1 S2 N1'
_cell_length_a 4.576
_cell_length_b 4.576
_cell_length_c 3.570
_cell_angle_alpha 90.00
_cell_angle_beta 90.00
_cell_angle_gamma 90.00
_space_group_name_H-M_alt 'P 4/m m m'
_space_group_IT_number 123
_space_group_name_Hall '-P 4 2'
loop_
_atom_site_label
_atom_site_fract_x
_atom_site_fract_y
_atom_site_fract_z
Ti1 0.000 0.000 0.000
Cu1 0.500 0.500 0.500
S1 0.000 0.500 0.500
N1 0.500 0.500 0.000
```